(1)
PBE CaVOsSe2, relaxed; ΔE_f (raw) = 47.9 meV per atom
1.0
4.903 0.000 0.000
0.000 4.903 0.000
0.000 0.000 4.575
Ca V Os Se
1 1 1 2
Direct
0.000 0.000 0.000
0.500 0.500 0.500
0.500 0.500 0.000
0.000 0.500 0.500
0.500 0.000 0.500

---

(2)
PBE VFe3Rh3, relaxed; DFT total energy = -0.5919 Ry per atom
1.0
4.199 -4.217 0.000
4.199 4.217 0.000
0.000 0.000 5.479
V Fe Rh
2 6 6
Direct
0.248 0.248 0.000
0.752 0.752 0.000
0.155 0.155 0.500
0.163 0.837 0.000
0.247 0.753 0.500
0.753 0.247 0.500
0.837 0.163 0.000
0.845 0.845 0.500
0.000 0.500 0.251
0.000 0.500 0.749
0.500 0.000 0.251
0.500 0.000 0.749
0.500 0.500 0.249
0.500 0.500 0.751

---

Number 1: magnetization 0.6 μB per cell. Number 2: magnetization 16.1 μB per cell.